A relaxed VSnNO2 crystal. Source: Alexandria, functional PBE+U.

The structure belongs to space group P4/mmm (No. 123); the cell edges are 4.0424, 4.0424 and 4.1099 Å and the angles 90.00°, 90.00° and 90.00°. The asymmetric unit holds V at (0.0000, 0.0000, 0.0000), Sn at (0.5000, 0.5000, 0.5000), N at (0.5000, 0.5000, 0.0000) and O at (0.0000, 0.5000, 0.5000).

For the final energy, the calculation gives -6.030 eV/atom. For the density of states at the Fermi level, the calculation gives 1.36 states/eV/f.u. As for the crystal system: tetragonal.

***

A relaxed VSnNO2 crystal. Source: Alexandria, functional PBE+U.

The structure belongs to space group P4/mmm (No. 123); the cell edges are 3.8409, 3.8409 and 3.9734 Å and the angles 90.00°, 90.00° and 90.00°. The asymmetric unit holds V at (0.0000, 0.0000, 0.0000), Sn at (0.5000, 0.5000, 0.5000), N at (0.0000, 0.0000, 0.5000) and O at (0.0000, 0.5000, 0.0000).

For the final energy, the calculation gives -6.699 eV/atom. For the density of states at the Fermi level, the calculation gives 0.64 states/eV/f.u. As for the crystal system: tetragonal.

***

A relaxed Sn2WNO crystal. Source: Alexandria, functional PBE+U.

The structure belongs to space group P4/mmm (No. 123); the cell edges are 5.3954, 5.3954 and 3.8773 Å and the angles 90.00°, 90.00° and 90.00°. The asymmetric unit holds Sn at (0.0000, 0.5000, 0.0000), W at (0.0000, 0.0000, 0.0000), N at (0.0000, 0.0000, 0.5000) and O at (0.5000, 0.5000, 0.5000).

For the final energy, the calculation gives -5.005 eV/atom. For the density of states at the Fermi level, the calculation gives 1.57 states/eV/f.u. As for the crystal system: tetragonal.